Density functional theory data (GGA-PBE) for a geometry-optimized TlZn2As structure.

Cell and atoms, written as CIF:
```
data_TlZn2As
_cell_length_a 3.984
_cell_length_b 4.016
_cell_length_c 5.215
_cell_angle_alpha 90.00
_cell_angle_beta 90.00
_cell_angle_gamma 90.00
_symmetry_space_group_name_H-M 'P m m m'
_symmetry_Int_Tables_number 47
_symmetry_space_group_name_Hall '-P 2 2'
loop_
_atom_site_label
_atom_site_fract_x
_atom_site_fract_y
_atom_site_fract_z
Tl1 0.000 0.000 0.000
Zn1 0.500 0.000 0.500
Zn2 0.500 0.500 0.000
As1 0.000 0.500 0.500
```

- uncorrected energy (eV per cell) = -8.69
- calculated volume (Å³/atom) = 20.86



Density functional theory data (GGA-PBE) for a geometry-optimized TlZnAs2 structure.

Cell and atoms, written as CIF:
```
data_TlZnAs2
_cell_length_a 3.164
_cell_length_b 5.391
_cell_length_c 10.167
_cell_angle_alpha 90.00
_cell_angle_beta 90.00
_cell_angle_gamma 90.00
_symmetry_space_group_name_H-M 'I m m m'
_symmetry_Int_Tables_number 71
_symmetry_space_group_name_Hall '-I 2 2'
loop_
_atom_site_label
_atom_site_fract_x
_atom_site_fract_y
_atom_site_fract_z
Tl1 0.000 0.000 0.000
Zn1 0.000 0.000 0.500
As1 0.000 0.500 0.210
```

- uncorrected energy (eV per cell) = -23.76
- calculated volume (Å³/atom) = 21.68



Density functional theory data (GGA-PBE) for a geometry-optimized TlZnAs2 structure.

Cell and atoms, written as CIF:
```
data_TlZnAs2
_cell_length_a 5.874
_cell_length_b 5.874
_cell_length_c 12.490
_cell_angle_alpha 90.00
_cell_angle_beta 90.00
_cell_angle_gamma 90.00
_symmetry_space_group_name_H-M 'I -4 2 d'
_symmetry_Int_Tables_number 122
_symmetry_space_group_name_Hall 'I -4 2bw'
loop_
_atom_site_label
_atom_site_fract_x
_atom_site_fract_y
_atom_site_fract_z
Tl1 0.000 0.000 0.000
Zn1 0.000 0.000 0.500
As1 0.210 0.250 0.625
```

- uncorrected energy (eV per cell) = -50.56
- calculated volume (Å³/atom) = 26.93



Repeat the third record exactly.
Density functional theory data (GGA-PBE) for a geometry-optimized TlZnAs2 structure.

Cell and atoms, written as CIF:
```
data_TlZnAs2
_cell_length_a 5.874
_cell_length_b 5.874
_cell_length_c 12.490
_cell_angle_alpha 90.00
_cell_angle_beta 90.00
_cell_angle_gamma 90.00
_symmetry_space_group_name_H-M 'I -4 2 d'
_symmetry_Int_Tables_number 122
_symmetry_space_group_name_Hall 'I -4 2bw'
loop_
_atom_site_label
_atom_site_fract_x
_atom_site_fract_y
_atom_site_fract_z
Tl1 0.000 0.000 0.000
Zn1 0.000 0.000 0.500
As1 0.210 0.250 0.625
```

- uncorrected energy (eV per cell) = -50.56
- calculated volume (Å³/atom) = 26.93



Question: The highest uncorrected energy belongs to which entry?
Answer: TlZn2As